# 1
A plane-wave DFT calculation with GGA-PBE was carried out for crystalline MnC4 at its relaxed geometry.

Calculated values
uncorrected energy	-7.054	eV/atom
energy relative to the elements	208	kJ per mole of atoms
DOS(E_F)	0.52	states/eV per atom

Cell lengths 3.675, 3.675, 3.675 Å; angles 123.24, 123.24, 84.48 degrees
Fractional positions:
Mn 0.000 0.000 0.000
C 0.750 0.250 0.500
C 0.250 0.750 0.500
C 0.639 0.639 0.000
C 0.361 0.361 0.000

---

# 2
A plane-wave DFT calculation with GGA-PBE was carried out for crystalline MnC2 at its relaxed geometry.

Calculated values
uncorrected energy	-8.466	eV/atom
energy relative to the elements	71	kJ per mole of atoms
DOS(E_F)	0.42	states/eV per atom

Cell lengths 2.704, 2.704, 7.536 Å; angles 90.00, 90.00, 90.00 degrees
Fractional positions:
C 0.000 0.000 0.214
C 0.500 0.500 0.714
C 0.000 0.000 0.032
C 0.500 0.500 0.532
Mn 0.000 0.000 0.805
Mn 0.500 0.500 0.305

---

# 3
A plane-wave DFT calculation with GGA-PBE was carried out for crystalline MnC4 at its relaxed geometry.

Calculated values
uncorrected energy	-8.290	eV/atom
energy relative to the elements	89	kJ per mole of atoms
DOS(E_F)	0.24	states/eV per atom

Cell lengths 4.656, 4.656, 4.656 Å; angles 94.32, 94.32, 148.16 degrees
Fractional positions:
Mn 0.000 0.000 0.000
C 0.725 0.725 0.451
C 0.275 0.725 0.000
C 0.275 0.275 0.549
C 0.725 0.275 0.000

---

# 4
A plane-wave DFT calculation with GGA-PBE was carried out for crystalline MnC2 at its relaxed geometry.

Calculated values
uncorrected energy	-8.604	eV/atom
energy relative to the elements	58	kJ per mole of atoms
DOS(E_F)	0.39	states/eV per atom

Cell lengths 3.115, 2.551, 3.797 Å; angles 90.00, 114.18, 90.00 degrees
Fractional positions:
C 0.540 0.000 0.828
C 0.644 0.500 0.037
Mn 0.933 0.500 0.615

---

# 5
A plane-wave DFT calculation with GGA-PBE was carried out for crystalline Mn5C at its relaxed geometry.

Calculated values
uncorrected energy	-8.063	eV/atom
energy relative to the elements	108	kJ per mole of atoms
DOS(E_F)	1.33	states/eV per atom

Cell lengths 4.587, 4.587, 4.587 Å; angles 60.00, 60.00, 60.00 degrees
Fractional positions:
Mn 0.250 0.250 0.250
Mn 0.626 0.626 0.626
Mn 0.626 0.626 0.122
Mn 0.122 0.626 0.626
Mn 0.626 0.122 0.626
C 0.000 0.000 0.000

---

# 6
A plane-wave DFT calculation with GGA-PBE was carried out for crystalline MnC2 at its relaxed geometry.

Calculated values
uncorrected energy	-8.526	eV/atom
energy relative to the elements	66	kJ per mole of atoms
DOS(E_F)	0.38	states/eV per atom

Cell lengths 2.999, 2.524, 6.793 Å; angles 90.00, 90.00, 90.00 degrees
Fractional positions:
C 0.000 0.500 0.423
C 0.500 0.000 0.923
C 0.000 0.000 0.528
C 0.500 0.500 0.028
Mn 0.000 0.500 0.789
Mn 0.500 0.000 0.289

---

# 7
A plane-wave DFT calculation with GGA-PBE was carried out for crystalline MnC at its relaxed geometry.

Calculated values
uncorrected energy	-8.726	eV/atom
energy relative to the elements	45	kJ per mole of atoms
DOS(E_F)	0.60	states/eV per atom

Cell lengths 2.462, 2.462, 20.050 Å; angles 90.00, 90.00, 120.00 degrees
Fractional positions:
Mn 0.333 0.667 0.046
Mn 0.667 0.333 0.546
Mn 0.667 0.333 0.954
Mn 0.333 0.667 0.454
C 0.000 0.000 0.250
C 0.000 0.000 0.750
C 0.333 0.667 0.750
C 0.667 0.333 0.250

---

# 8
A plane-wave DFT calculation with GGA-PBE was carried out for crystalline Mn7C3 at its relaxed geometry.

Calculated values
uncorrected energy	-9.249	eV/atom
energy relative to the elements	-6	kJ per mole of atoms
DOS(E_F)	1.02	states/eV per atom

Cell lengths 4.459, 6.809, 11.721 Å; angles 90.00, 90.00, 90.00 degrees
Fractional positions:
Mn 0.748 0.067 0.484
Mn 0.248 0.433 0.016
Mn 0.252 0.567 0.516
Mn 0.752 0.933 0.984
Mn 0.252 0.933 0.516
Mn 0.752 0.567 0.984
Mn 0.748 0.433 0.484
Mn 0.248 0.067 0.016
Mn 0.551 0.064 0.693
Mn 0.051 0.436 0.807
Mn 0.449 0.564 0.307
Mn 0.949 0.936 0.193
Mn 0.449 0.936 0.307
Mn 0.949 0.564 0.193
Mn 0.551 0.436 0.693
Mn 0.051 0.064 0.807
Mn 0.782 0.250 0.301
Mn 0.282 0.250 0.199
Mn 0.218 0.750 0.699
Mn 0.718 0.750 0.801
Mn 0.781 0.250 0.091
Mn 0.281 0.250 0.409
Mn 0.219 0.750 0.909
Mn 0.719 0.750 0.591
Mn 0.570 0.250 0.872
Mn 0.070 0.250 0.628
Mn 0.430 0.750 0.128
Mn 0.930 0.750 0.372
C 0.543 0.028 0.147
C 0.043 0.472 0.353
C 0.457 0.528 0.853
C 0.957 0.972 0.647
C 0.457 0.972 0.853
C 0.957 0.528 0.647
C 0.543 0.472 0.147
C 0.043 0.028 0.353
C 0.965 0.250 0.938
C 0.465 0.250 0.562
C 0.035 0.750 0.062
C 0.535 0.750 0.438

---

# 9
A plane-wave DFT calculation with GGA-PBE was carried out for crystalline Mn3C at its relaxed geometry.

Calculated values
uncorrected energy	-8.954	eV/atom
energy relative to the elements	22	kJ per mole of atoms
DOS(E_F)	0.82	states/eV per atom

Cell lengths 2.650, 2.587, 6.074 Å; angles 75.23, 90.00, 90.00 degrees
Fractional positions:
C 0.000 0.000 0.000
Mn 0.500 0.841 0.801
Mn 0.000 0.500 0.500
Mn 0.500 0.159 0.199

---

# 10
A plane-wave DFT calculation with GGA-PBE was carried out for crystalline MnC at its relaxed geometry.

Calculated values
uncorrected energy	-8.700	eV/atom
energy relative to the elements	48	kJ per mole of atoms
DOS(E_F)	0.83	states/eV per atom

Cell lengths 5.272, 5.272, 5.272 Å; angles 90.00, 90.00, 90.00 degrees
Fractional positions:
Mn 0.250 0.500 0.000
Mn 0.750 0.500 0.000
Mn 0.500 0.000 0.250
Mn 0.500 0.000 0.750
Mn 0.000 0.250 0.500
Mn 0.000 0.750 0.500
C 0.250 0.000 0.500
C 0.750 0.000 0.500
C 0.000 0.500 0.250
C 0.000 0.500 0.750
C 0.500 0.250 0.000
C 0.500 0.750 0.000

---

# 11
A plane-wave DFT calculation with GGA-PBE was carried out for crystalline Mn5C at its relaxed geometry.

Calculated values
uncorrected energy	-8.850	eV/atom
energy relative to the elements	32	kJ per mole of atoms
DOS(E_F)	0.84	states/eV per atom

Cell lengths 5.922, 5.922, 4.097 Å; angles 90.00, 90.00, 153.94 degrees
Fractional positions:
Mn 0.346 0.654 0.000
Mn 0.598 0.402 0.000
Mn 0.472 0.528 0.500
Mn 0.800 0.200 0.500
Mn 0.144 0.856 0.500
C 0.972 0.028 0.000

---

# 12
A plane-wave DFT calculation with GGA-PBE was carried out for crystalline MnC at its relaxed geometry.

Calculated values
uncorrected energy	-8.252	eV/atom
energy relative to the elements	91	kJ per mole of atoms
DOS(E_F)	0.67	states/eV per atom

Cell lengths 5.181, 5.181, 5.181 Å; angles 35.78, 35.78, 35.78 degrees
Fractional positions:
C 0.959 0.959 0.959
C 0.791 0.791 0.791
Mn 0.464 0.464 0.464
Mn 0.286 0.286 0.286

---

# 13
A plane-wave DFT calculation with GGA-PBE was carried out for crystalline MnC at its relaxed geometry.

Calculated values
uncorrected energy	-8.755	eV/atom
energy relative to the elements	43	kJ per mole of atoms
DOS(E_F)	0.76	states/eV per atom

Cell lengths 3.070, 3.070, 3.070 Å; angles 60.00, 60.00, 60.00 degrees
Fractional positions:
C 0.000 0.000 0.000
Mn 0.750 0.750 0.750

---

# 14
A plane-wave DFT calculation with GGA-PBE was carried out for crystalline MnC2 at its relaxed geometry.

Calculated values
uncorrected energy	-8.476	eV/atom
energy relative to the elements	70	kJ per mole of atoms
DOS(E_F)	0.44	states/eV per atom

Cell lengths 4.025, 2.558, 5.970 Å; angles 90.00, 110.40, 90.00 degrees
Fractional positions:
C 0.838 0.000 0.998
C 0.838 0.500 0.498
C 0.662 0.000 0.438
C 0.662 0.500 0.938
Mn 0.137 0.000 0.343
Mn 0.137 0.500 0.843

---

# 15
A plane-wave DFT calculation with GGA-PBE was carried out for crystalline Mn3C at its relaxed geometry.

Calculated values
uncorrected energy	-8.554	eV/atom
energy relative to the elements	61	kJ per mole of atoms
DOS(E_F)	1.24	states/eV per atom

Cell lengths 4.754, 4.754, 3.798 Å; angles 90.00, 90.00, 120.00 degrees
Fractional positions:
Mn 0.826 0.653 0.250
Mn 0.347 0.174 0.250
Mn 0.826 0.174 0.250
Mn 0.174 0.347 0.750
Mn 0.653 0.826 0.750
Mn 0.174 0.826 0.750
C 0.333 0.667 0.250
C 0.667 0.333 0.750

---

# 16
A plane-wave DFT calculation with GGA-PBE was carried out for crystalline MnC4 at its relaxed geometry.

Calculated values
uncorrected energy	-6.192	eV/atom
energy relative to the elements	291	kJ per mole of atoms
DOS(E_F)	0.96	states/eV per atom

Cell lengths 3.734, 3.734, 3.734 Å; angles 90.00, 90.00, 90.00 degrees
Fractional positions:
C 0.000 0.000 0.000
C 0.500 0.000 0.500
C 0.000 0.500 0.500
C 0.500 0.500 0.000
Mn 0.500 0.500 0.500

---

# 17
A plane-wave DFT calculation with GGA-PBE was carried out for crystalline Mn3C at its relaxed geometry.

Calculated values
uncorrected energy	-8.599	eV/atom
energy relative to the elements	56	kJ per mole of atoms
DOS(E_F)	1.12	states/eV per atom

Cell lengths 2.565, 3.409, 4.305 Å; angles 90.00, 90.00, 90.00 degrees
Fractional positions:
C 0.000 0.000 0.000
Mn 0.500 0.500 0.769
Mn 0.000 0.000 0.500
Mn 0.500 0.500 0.231

---

# 18
A plane-wave DFT calculation with GGA-PBE was carried out for crystalline MnC2 at its relaxed geometry.

Calculated values
uncorrected energy	-8.328	eV/atom
energy relative to the elements	85	kJ per mole of atoms
DOS(E_F)	0.56	states/eV per atom

Cell lengths 3.009, 3.342, 3.465 Å; angles 101.10, 115.81, 89.98 degrees
Fractional positions:
C 0.732 0.029 0.660
C 0.567 0.692 0.329
Mn 0.428 0.161 0.050

---

# 19
A plane-wave DFT calculation with GGA-PBE was carried out for crystalline Mn3C at its relaxed geometry.

Calculated values
uncorrected energy	-9.169	eV/atom
energy relative to the elements	1	kJ per mole of atoms
DOS(E_F)	1.14	states/eV per atom

Cell lengths 4.195, 6.253, 6.253 Å; angles 83.57, 70.38, 70.38 degrees
Fractional positions:
Mn 0.369 0.000 0.803
Mn 0.173 0.999 0.196
Mn 0.827 0.804 0.001
Mn 0.631 0.197 0.000
Mn 0.500 0.356 0.644
Mn 0.500 0.644 0.356
Mn 0.858 0.643 0.644
Mn 0.142 0.356 0.357
Mn 0.996 0.000 0.605
Mn 0.600 0.001 0.395
Mn 0.400 0.605 0.999
Mn 0.004 0.395 0.000
C 0.000 0.293 0.707
C 0.000 0.708 0.292
C 0.292 0.707 0.708
C 0.708 0.292 0.293

---

# 20
A plane-wave DFT calculation with GGA-PBE was carried out for crystalline Mn6C7 at its relaxed geometry.

Calculated values
uncorrected energy	-8.229	eV/atom
energy relative to the elements	94	kJ per mole of atoms
DOS(E_F)	0.65	states/eV per atom

Cell lengths 8.397, 8.397, 8.397 Å; angles 28.06, 28.06, 28.06 degrees
Fractional positions:
C 0.394 0.013 0.394
C 0.013 0.394 0.394
C 0.394 0.394 0.013
C 0.606 0.987 0.606
C 0.606 0.606 0.987
C 0.987 0.606 0.606
C 0.500 0.500 0.500
Mn 0.927 0.927 0.927
Mn 0.073 0.073 0.073
Mn 0.811 0.811 0.811
Mn 0.189 0.189 0.189
Mn 0.650 0.650 0.650
Mn 0.350 0.350 0.350